1.
A relaxed structure of HoCoSi2, computed with PBE.

Properties
Crystal system: trigonal
Formation energy (no corrections): -3.050 eV per formula unit

Structure (CIF):
```
data_HoCoSi2
_chemical_formula_sum 'Ho3 Co3 Si6'
_cell_length_a 3.8809
_cell_length_b 3.8809
_cell_length_c 14.8516
_cell_angle_alpha 90.00
_cell_angle_beta 90.00
_cell_angle_gamma 120.00
_symmetry_space_group_name_H-M 'R -3 m'
_symmetry_Int_Tables_number 166
_symmetry_space_group_name_Hall '-R 3 2"'
loop_
_atom_site_label
_atom_site_fract_x
_atom_site_fract_y
_atom_site_fract_z
Ho1 0.0000 0.0000 0.0000
Co1 0.0000 0.0000 0.5000
Si1 0.0000 0.0000 0.2083
```

2.
A relaxed structure of Ta6Mo3W, computed with PBE.

Properties
Crystal system: monoclinic
Formation energy from the elements: -136 kJ/mol of formula units

Structure (CIF):
```
data_Ta6Mo3W
_chemical_formula_sum 'Ta12 Mo6 W2'
_cell_length_a 7.976
_cell_length_b 4.596
_cell_length_c 9.721
_cell_angle_alpha 90.00
_cell_angle_beta 105.40
_cell_angle_gamma 90.00
_symmetry_space_group_name_H-M 'P 1 21/m 1'
_symmetry_Int_Tables_number 11
_symmetry_space_group_name_Hall '-P 2yb'
loop_
_atom_site_label
_atom_site_fract_x
_atom_site_fract_y
_atom_site_fract_z
Ta1 0.046 0.250 0.401
Ta2 0.145 0.750 0.198
Ta3 0.249 0.250 0.997
Ta4 0.345 0.750 0.801
Ta5 0.350 0.250 0.297
Ta6 0.445 0.250 0.601
Mo1 0.048 0.750 0.899
Mo2 0.150 0.250 0.699
Mo3 0.253 0.750 0.498
W1 0.449 0.750 0.101
```

3.
A relaxed structure of Na2Sm2Hg7, computed with PBE.

Properties
Crystal system: orthorhombic
Formation energy from the elements: -72 kJ/mol of formula units

Structure (CIF):
```
data_Na2Sm2Hg7
_chemical_formula_sum 'Na4 Sm4 Hg14'
_cell_length_a 9.886
_cell_length_b 11.144
_cell_length_c 5.914
_cell_angle_alpha 90.00
_cell_angle_beta 90.00
_cell_angle_gamma 90.00
_symmetry_space_group_name_H-M 'C m m m'
_symmetry_Int_Tables_number 65
_symmetry_space_group_name_Hall '-C 2 2'
loop_
_atom_site_label
_atom_site_fract_x
_atom_site_fract_y
_atom_site_fract_z
Na1 0.000 0.238 0.000
Sm1 0.192 0.500 0.500
Hg1 0.000 0.000 0.253
Hg2 0.000 0.500 0.000
Hg3 0.250 0.250 0.252
```

4.
A relaxed structure of YTiCu2, computed with PBE.

Properties
Crystal system: tetragonal
Formation energy from the elements: 178 kJ/mol of formula units
Polymorph energy (0 for the lowest one): 2.22 eV per formula unit

Structure (CIF):
```
data_YTiCu2
_chemical_formula_sum 'Y4 Ti4 Cu8'
_cell_length_a 4.442
_cell_length_b 4.442
_cell_length_c 17.213
_cell_angle_alpha 90.00
_cell_angle_beta 90.00
_cell_angle_gamma 90.00
_symmetry_space_group_name_H-M 'I -4 2 d'
_symmetry_Int_Tables_number 122
_symmetry_space_group_name_Hall 'I -4 2bw'
loop_
_atom_site_label
_atom_site_fract_x
_atom_site_fract_y
_atom_site_fract_z
Y1 0.000 0.000 0.000
Ti1 0.000 0.000 0.500
Cu1 0.122 0.250 0.625
```